Tb2CeGa3 after structural relaxation. Source: Alexandria via LeMat-Bulk, functional PBE.

Properties
As for the density of states at the Fermi level: 1.17 states/eV per atom. The relative energy among the computed polymorphs is 0.00 eV per formula unit. The formation energy comes out at -544 meV per atom.

a b c (Å): 5.0930 5.0930 12.5422
angles (deg): 90.00 90.00 120.00
Space group P-3m1 (No. 164)
Asymmetric unit:
Tb1 0.0000 0.0000 0.0000 [1 per cell]
Tb2 0.0000 0.0000 0.5000 [1 per cell]
Tb3 0.3333 0.6667 0.1640 [2 per cell]
Ce1 0.3333 0.6667 0.6645 [2 per cell]
Ga1 0.0000 0.0000 0.2475 [2 per cell]
Ga2 0.3333 0.6667 0.4149 [2 per cell]
Ga3 0.3333 0.6667 0.9175 [2 per cell]